# 1
This record from Alexandria via LeMat-Bulk describes Na2HfThSe4 after structural relaxation. The functional is PBE-GGA.

a = 6.9173 Å, b = 3.9693 Å, c = 7.6012 Å
α = 90.00°, β = 107.30°, γ = 90.00°
Positions (direct):
Na1 0.0000 0.0000 0.0000
Na2 0.5000 0.5000 0.0000
Hf1 0.0000 0.5000 0.5000
Th1 0.5000 0.0000 0.5000
Se1 0.2225 0.0000 0.7255
Se2 0.2325 0.5000 0.2598
Se3 0.7675 0.5000 0.7402
Se4 0.7775 0.0000 0.2745

Properties
Raw formation energy: -10.7 eV/f.u.

# 2
This record from Alexandria via LeMat-Bulk describes Na3HfTh3Se8 after structural relaxation. The functional is PBE-GGA.

a = 8.6981 Å, b = 8.6981 Å, c = 8.6981 Å
α = 56.11°, β = 56.11°, γ = 56.11°
Positions (direct):
Na1 0.0000 0.5000 0.5000
Na2 0.5000 0.0000 0.5000
Na3 0.5000 0.5000 0.0000
Hf1 0.5000 0.5000 0.5000
Th1 0.0000 0.0000 0.5000
Th2 0.0000 0.5000 0.0000
Th3 0.5000 0.0000 0.0000
Se1 0.2498 0.2498 0.2498
Se2 0.2650 0.7304 0.7304
Se3 0.2696 0.2696 0.7350
Se4 0.2696 0.7350 0.2696
Se5 0.7304 0.2650 0.7304
Se6 0.7304 0.7304 0.2650
Se7 0.7350 0.2696 0.2696
Se8 0.7502 0.7502 0.7502

Properties
Raw formation energy: -21.9 eV/f.u.

# 3
This record from Alexandria via LeMat-Bulk describes Na2HfTi2Se6 after structural relaxation. The functional is PBE-GGA.

a = 6.4464 Å, b = 6.4464 Å, c = 7.5279 Å
α = 98.07°, β = 98.07°, γ = 120.07°
Positions (direct):
Na1 0.1645 0.8355 0.0000
Na2 0.8355 0.1645 0.0000
Hf1 0.0000 0.0000 0.5000
Ti1 0.3331 0.6669 0.5000
Ti2 0.6669 0.3331 0.5000
Se1 0.0717 0.4095 0.7135
Se2 0.2711 0.2711 0.2864
Se3 0.4095 0.0717 0.7135
Se4 0.5905 0.9283 0.2865
Se5 0.7289 0.7289 0.7136
Se6 0.9283 0.5905 0.2865

Properties
Raw formation energy: -13.6 eV/f.u.

# 4
This record from Alexandria via LeMat-Bulk describes Na2Hf2TiSe6 after structural relaxation. The functional is PBE-GGA.

a = 6.5090 Å, b = 6.5090 Å, c = 7.5738 Å
α = 98.39°, β = 98.39°, γ = 119.97°
Positions (direct):
Na1 0.1682 0.8318 0.0000
Na2 0.8318 0.1682 0.0000
Hf1 0.3327 0.6673 0.5000
Hf2 0.6673 0.3327 0.5000
Ti1 0.0000 0.0000 0.5000
Se1 0.0758 0.4023 0.7174
Se2 0.2567 0.2567 0.2836
Se3 0.4023 0.0758 0.7174
Se4 0.5977 0.9242 0.2826
Se5 0.7433 0.7433 0.7164
Se6 0.9242 0.5977 0.2826

Properties
Raw formation energy: -14.1 eV/f.u.

# 5
This record from Alexandria via LeMat-Bulk describes Na3HfTi3Se8 after structural relaxation. The functional is PBE-GGA.

a = 8.3466 Å, b = 8.3466 Å, c = 8.3466 Å
α = 53.03°, β = 53.03°, γ = 53.03°
Positions (direct):
Na1 0.0000 0.5000 0.5000
Na2 0.5000 0.0000 0.5000
Na3 0.5000 0.5000 0.0000
Hf1 0.5000 0.5000 0.5000
Ti1 0.0000 0.0000 0.5000
Ti2 0.0000 0.5000 0.0000
Ti3 0.5000 0.0000 0.0000
Se1 0.2295 0.7428 0.7428
Se2 0.2373 0.2373 0.2373
Se3 0.2572 0.2572 0.7705
Se4 0.2572 0.7705 0.2572
Se5 0.7428 0.2295 0.7428
Se6 0.7428 0.7428 0.2295
Se7 0.7627 0.7627 0.7627
Se8 0.7705 0.2572 0.2572

Properties
Raw formation energy: -18.3 eV/f.u.

# 6
This record from Alexandria via LeMat-Bulk describes NaHfTl2Se4 after structural relaxation. The functional is PBE-GGA.

a = 7.5160 Å, b = 3.9991 Å, c = 7.5276 Å
α = 90.00°, β = 106.74°, γ = 90.00°
Positions (direct):
Na1 0.0000 0.0000 0.0000
Hf1 0.0000 0.5000 0.5000
Tl1 0.5000 0.0000 0.5000
Tl2 0.5000 0.5000 0.0000
Se1 0.2037 0.0000 0.7101
Se2 0.2216 0.5000 0.2794
Se3 0.7784 0.5000 0.7206
Se4 0.7963 0.0000 0.2899

Properties
Raw formation energy: -6.8 eV/f.u.

# 7
This record from Alexandria via LeMat-Bulk describes NaHf2TlSe after structural relaxation. The functional is PBE-GGA.

a = 4.9901 Å, b = 4.9901 Å, c = 5.9657 Å
α = 90.00°, β = 90.00°, γ = 90.00°
Positions (direct):
Na1 0.0000 0.0000 0.0000
Hf1 0.0000 0.5000 0.5000
Hf2 0.5000 0.0000 0.5000
Tl1 0.5000 0.5000 0.0000
Se1 0.5000 0.5000 0.5000

Properties
Raw formation energy: 2.0 eV/f.u.

# 8
This record from Alexandria via LeMat-Bulk describes Na3Tm2HfSe6 after structural relaxation. The functional is PBE-GGA.

a = 6.9203 Å, b = 6.9203 Å, c = 7.4220 Å
α = 98.96°, β = 98.96°, γ = 120.01°
Positions (direct):
Na1 0.0000 0.0000 0.0000
Na2 0.3305 0.6695 0.0000
Na3 0.6695 0.3305 0.0000
Tm1 0.1663 0.8337 0.5000
Tm2 0.8337 0.1663 0.5000
Hf1 0.5000 0.5000 0.5000
Se1 0.1032 0.4246 0.2739
Se2 0.2545 0.2545 0.7260
Se3 0.4246 0.1032 0.2739
Se4 0.5754 0.8968 0.7261
Se5 0.7455 0.7455 0.2740
Se6 0.8968 0.5754 0.7261

Properties
Raw formation energy: -18.3 eV/f.u.